## Zr2TlP2 (GGA-PBE)

Data for a relaxed Zr2TlP2 crystal.

Cell lengths 7.532, 7.532, 3.431 Å; angles 90.00, 90.00, 90.00 degrees
Element x y z (fractional)
P (0.365, 0.865, 0.000)
P (0.865, 0.635, 0.000)
P (0.635, 0.135, 0.000)
P (0.135, 0.365, 0.000)
Tl (0.000, 0.000, 0.000)
Tl (0.500, 0.500, 0.000)
Zr (0.149, 0.649, 0.500)
Zr (0.649, 0.851, 0.500)
Zr (0.851, 0.351, 0.500)
Zr (0.351, 0.149, 0.500)

DOS(E_F) = 0.6574 states/eV/atom
density = 7.66 Mg/m³
space-group type = P4/mbm (127)
M_tot = 0.0 μB per formula unit
formation enthalpy at 0 K = -3.2 eV/f.u.